Arrangement i

# Si2Tc2Au, relaxed, DFT GGA-PBE
# V (A^3/atom): 15.31
data_Si2Tc2Au
_chemical_formula_sum 'Si4 Tc4 Au2'
_cell_length_a 3.482
_cell_length_b 3.482
_cell_length_c 12.624
_cell_angle_alpha 90.00
_cell_angle_beta 90.00
_cell_angle_gamma 90.00
_symmetry_space_group_name_H-M 'I 4/m m m'
_symmetry_Int_Tables_number 139
_symmetry_space_group_name_Hall '-I 4 2'
loop_
_atom_site_label
_atom_site_type_symbol
_atom_site_fract_x
_atom_site_fract_y
_atom_site_fract_z
Si1 Si 0.000 0.500 0.250
Tc1 Tc 0.000 0.000 0.109
Au1 Au 0.000 0.000 0.500


Arrangement ii

# Si2Tc2Au, relaxed, DFT GGA-PBE
# V (A^3/atom): 14.96
data_Si2Tc2Au
_chemical_formula_sum 'Si4 Tc4 Au2'
_cell_length_a 7.061
_cell_length_b 7.061
_cell_length_c 3.001
_cell_angle_alpha 90.00
_cell_angle_beta 90.00
_cell_angle_gamma 90.00
_symmetry_space_group_name_H-M 'P 4/m b m'
_symmetry_Int_Tables_number 127
_symmetry_space_group_name_Hall '-P 4 2ab'
loop_
_atom_site_label
_atom_site_type_symbol
_atom_site_fract_x
_atom_site_fract_y
_atom_site_fract_z
Si1 Si 0.150 0.350 0.000
Tc1 Tc 0.142 0.642 0.500
Au1 Au 0.000 0.000 0.500


Arrangement iii

# Si2Tc2Au, relaxed, DFT GGA-PBE
# V (A^3/atom): 14.41
data_Si2Tc2Au
_chemical_formula_sum 'Si4 Tc4 Au2'
_cell_length_a 6.944
_cell_length_b 6.944
_cell_length_c 2.990
_cell_angle_alpha 90.00
_cell_angle_beta 90.00
_cell_angle_gamma 90.00
_symmetry_space_group_name_H-M 'P 4/m b m'
_symmetry_Int_Tables_number 127
_symmetry_space_group_name_Hall '-P 4 2ab'
loop_
_atom_site_label
_atom_site_type_symbol
_atom_site_fract_x
_atom_site_fract_y
_atom_site_fract_z
Si1 Si 0.138 0.362 0.000
Tc1 Tc 0.154 0.654 0.500
Au1 Au 0.000 0.000 0.000


Winner for stability: arrangement iii


Arrangement i

# SiTeAu3, relaxed, DFT GGA-PBE
# V (A^3/atom): 28.91
data_SiTeAu3
_chemical_formula_sum 'Si1 Te1 Au3'
_cell_length_a 5.248
_cell_length_b 5.248
_cell_length_c 5.248
_cell_angle_alpha 90.00
_cell_angle_beta 90.00
_cell_angle_gamma 90.00
_symmetry_space_group_name_H-M 'P m -3 m'
_symmetry_Int_Tables_number 221
_symmetry_space_group_name_Hall '-P 4 2 3'
loop_
_atom_site_label
_atom_site_type_symbol
_atom_site_fract_x
_atom_site_fract_y
_atom_site_fract_z
Si1 Si 0.000 0.000 0.000
Te1 Te 0.500 0.500 0.500
Au1 Au 0.000 0.500 0.500


Arrangement ii

# SiTeAu3, relaxed, DFT GGA-PBE
# V (A^3/atom): 20.95
data_SiTeAu3
_chemical_formula_sum 'Si8 Te8 Au24'
_cell_length_a 12.938
_cell_length_b 8.813
_cell_length_c 7.688
_cell_angle_alpha 90.00
_cell_angle_beta 107.02
_cell_angle_gamma 90.00
_symmetry_space_group_name_H-M 'C 1 2/c 1'
_symmetry_Int_Tables_number 15
loop_
_symmetry_equiv_pos_as_xyz
'x,y,z'
'-x,-y,-z'
'-x,y,-z+1/2'
'x,-y,z+1/2'
'x+1/2,y+1/2,z'
'-x+1/2,-y+1/2,-z'
'-x+1/2,y+1/2,-z+1/2'
'x+1/2,-y+1/2,z+1/2'
loop_
_atom_site_label
_atom_site_type_symbol
_atom_site_fract_x
_atom_site_fract_y
_atom_site_fract_z
Si1 Si 0.096 0.231 0.288
Te1 Te 0.000 0.097 0.750
Te2 Te 0.000 0.449 0.750
Au1 Au 0.165 0.447 0.108
Au2 Au 0.177 0.213 0.612
Au3 Au 0.182 0.117 0.075


Arrangement iii

# SiTeAu3, relaxed, DFT GGA-PBE
# V (A^3/atom): 22.79
data_SiTeAu3
_chemical_formula_sum 'Si1 Te1 Au3'
_cell_length_a 4.848
_cell_length_b 4.848
_cell_length_c 4.848
_cell_angle_alpha 90.00
_cell_angle_beta 90.00
_cell_angle_gamma 90.00
_symmetry_space_group_name_H-M 'P m -3 m'
_symmetry_Int_Tables_number 221
_symmetry_space_group_name_Hall '-P 4 2 3'
loop_
_atom_site_label
_atom_site_type_symbol
_atom_site_fract_x
_atom_site_fract_y
_atom_site_fract_z
Si1 Si 0.000 0.000 0.000
Te1 Te 0.500 0.500 0.500
Au1 Au 0.000 0.000 0.500


Winner for stability: arrangement ii


Arrangement i

# Si2TeAu2, relaxed, DFT GGA-PBE
# V (A^3/atom): 20.41
data_Si2TeAu2
_chemical_formula_sum 'Si4 Te2 Au4'
_cell_length_a 4.195
_cell_length_b 4.195
_cell_length_c 11.598
_cell_angle_alpha 90.00
_cell_angle_beta 90.00
_cell_angle_gamma 90.00
_symmetry_space_group_name_H-M 'I 4/m m m'
_symmetry_Int_Tables_number 139
_symmetry_space_group_name_Hall '-I 4 2'
loop_
_atom_site_label
_atom_site_type_symbol
_atom_site_fract_x
_atom_site_fract_y
_atom_site_fract_z
Si1 Si 0.000 0.500 0.250
Te1 Te 0.000 0.000 0.000
Au1 Au 0.000 0.000 0.379


Arrangement ii

# Si2TeAu2, relaxed, DFT GGA-PBE
# V (A^3/atom): 19.78
data_Si2TeAu2
_chemical_formula_sum 'Si4 Te2 Au4'
_cell_length_a 8.066
_cell_length_b 8.066
_cell_length_c 3.041
_cell_angle_alpha 90.00
_cell_angle_beta 90.00
_cell_angle_gamma 90.00
_symmetry_space_group_name_H-M 'P 4/m b m'
_symmetry_Int_Tables_number 127
_symmetry_space_group_name_Hall '-P 4 2ab'
loop_
_atom_site_label
_atom_site_type_symbol
_atom_site_fract_x
_atom_site_fract_y
_atom_site_fract_z
Si1 Si 0.123 0.377 0.000
Te1 Te 0.000 0.000 0.500
Au1 Au 0.163 0.663 0.500


Winner for stability: arrangement i